Computed, not measured: a relaxed CuAg2I2Cl2 crystal at the PBE level of DFT.

The value obtained for the raw formation energy is -274 meV/atom.

```
14
Lattice="13.9930 0.0000 0.0000 0.0000 4.0585 0.0000 -5.6251 0.0000 7.3149" Properties=species:S:1:pos:R:3 pbc="T T T"
Cu 0.0000 0.0000 0.0000
Cu 6.9965 2.0292 0.0000
Ag -1.6811 0.0000 5.9156
Ag 3.0525 2.0292 1.3994
Ag 5.3155 2.0292 5.9156
Ag 10.0490 0.0000 1.3994
I -3.7025 2.0292 5.7987
I 5.0739 0.0000 1.5162
I 3.2940 0.0000 5.7987
I 12.0704 2.0292 1.5162
Cl 1.2688 0.0000 1.7825
Cl 0.1026 2.0292 5.5325
Cl 8.2654 2.0292 1.7825
Cl 7.0991 0.0000 5.5325
```